A geometry-optimized Cs3KAu structure. Source: Alexandria, functional PBE-GGA.

The calculation puts the formation energy at -117 meV per atom. The value obtained for the relative energy among the computed polymorphs is 0.10 eV per formula unit.

a = 13.3466 Å, b = 13.3466 Å, c = 9.4308 Å
α = 103.01°, β = 103.01°, γ = 71.92°
Fractional positions:
Cs  0.0300  0.1784  0.1600
Cs  0.1507  0.5734  0.4853
Cs  0.1784  0.0300  0.6600
Cs  0.1988  0.4369  0.9288
Cs  0.4266  0.8493  0.0147
Cs  0.4369  0.1988  0.4288
Cs  0.5631  0.8012  0.5712
Cs  0.5734  0.1507  0.9853
Cs  0.8012  0.5631  0.0712
Cs  0.8216  0.9700  0.3400
Cs  0.8493  0.4266  0.5147
Cs  0.9700  0.8216  0.8400
K  0.2360  0.7640  0.2500
K  0.4801  0.5199  0.7500
K  0.5199  0.4801  0.2500
K  0.7640  0.2360  0.7500
Au  0.2504  0.6812  0.8650
Au  0.3188  0.7496  0.6350
Au  0.6812  0.2504  0.3650
Au  0.7496  0.3188  0.1350

A geometry-optimized Li2PrYAu4 structure. Source: Alexandria, functional PBE-GGA.

The calculation puts the formation energy at -677 meV per atom.

a = 8.3507 Å, b = 8.3507 Å, c = 8.3507 Å
α = 35.03°, β = 35.03°, γ = 35.03°
Fractional positions:
Li  0.2502  0.2502  0.2502
Li  0.7498  0.7498  0.7498
Pr  0.5000  0.5000  0.5000
Y  0.0000  0.0000  0.0000
Au  0.1268  0.1268  0.1268
Au  0.3671  0.3671  0.3671
Au  0.6329  0.6329  0.6329
Au  0.8732  0.8732  0.8732

A geometry-optimized BaAc4Pt3O12 structure. Source: Alexandria, functional PBE-GGA.

The raw formation energy is -2027 meV per atom.

a = 7.6629 Å, b = 7.6629 Å, c = 7.6629 Å
α = 109.47°, β = 109.47°, γ = 109.47°
Fractional positions:
Ba  0.0000  0.0000  0.0000
Ac  0.0000  0.0000  0.5000
Ac  0.0000  0.5000  0.0000
Ac  0.5000  0.0000  0.0000
Ac  0.5000  0.5000  0.5000
Pt  0.0000  0.5000  0.5000
Pt  0.5000  0.0000  0.5000
Pt  0.5000  0.5000  0.0000
O  0.1465  0.3268  0.4733
O  0.1465  0.6732  0.8196
O  0.1804  0.8535  0.3268
O  0.3268  0.1804  0.8535
O  0.3268  0.4733  0.1465
O  0.4733  0.1465  0.3268
O  0.5267  0.8535  0.6732
O  0.6732  0.5267  0.8535
O  0.6732  0.8196  0.1465
O  0.8196  0.1465  0.6732
O  0.8535  0.3268  0.1804
O  0.8535  0.6732  0.5267

Record order is preserved below.
Total magnetic moment: 0.000 0.000 4.050 μB/cell
Record order is preserved below.
Uncorrected energy: -30.1 -33.6 -136.5 eV for the cell shown